Record 1
# CaBeFe

CaBeFe after structural relaxation (PBE, Alexandria via LeMat-Bulk).

Calculated values
Calculated volume: 57.8 Å³/cell
DOS(E_F): 1.28 states/eV/atom
E_form: 788.2 meV/atom

a b c (Å): 4.3409 4.3409 4.3409
angles (deg): 60.00 60.00 60.00
Last column: nearest neighbours and their distance in Å.
Element x y z (fractional)
Ca 0.0000 0.0000 0.0000  4 Be 2.66
Be 0.7500 0.7500 0.7500  4 Ca 2.66, 4 Fe 2.66
Fe 0.5000 0.5000 0.5000  4 Be 2.66


Record 2
# CaBeFe

CaBeFe after structural relaxation (PBE, Alexandria via LeMat-Bulk).

Calculated values
Calculated volume: 46.8 Å³/cell
DOS(E_F): 0.65 states/eV/atom
E_form: 318.4 meV/atom

a b c (Å): 5.4466 5.4466 3.0614
angles (deg): 73.68 73.68 32.64
Last column: nearest neighbours and their distance in Å.
Element x y z (fractional)
Be 0.0604 0.0604 0.9396  4 Fe 2.22
Fe 0.6103 0.6103 0.3897  4 Be 2.22
Ca 0.3293 0.3293 0.6707  1 Be 2.69, 1 Fe 2.81


Record 3
# CaBe2Fe

CaBe2Fe after structural relaxation (PBE, Alexandria via LeMat-Bulk).

Calculated values
Calculated volume: 64.2 Å³/cell
DOS(E_F): 1.06 states/eV/atom
E_form: 168.4 meV/atom

a b c (Å): 3.8329 3.8329 5.5101
angles (deg): 69.65 69.65 59.92
Last column: nearest neighbours and their distance in Å.
Element x y z (fractional)
Be 0.5648 0.5648 0.3053  3 Fe 2.23, 3 Be 2.28
Ca 0.7500 0.7500 0.7500  2 Be 2.80
Be 0.9352 0.9352 0.1947  3 Fe 2.23, 3 Be 2.28
Fe 0.2500 0.2500 0.2500  6 Be 2.23


Record 4
# CaBe4Fe

CaBe4Fe after structural relaxation (PBE, Alexandria via LeMat-Bulk).

Calculated values
Calculated volume: 69.8 Å³/cell
DOS(E_F): 0.80 states/eV/atom
E_form: 210.2 meV/atom

a b c (Å): 4.6221 4.6221 4.6221
angles (deg): 60.00 60.00 60.00
Last column: nearest neighbours and their distance in Å.
Element x y z (fractional)
Be 0.3708 0.3708 0.3708  6 Be 2.23-2.39
Be 0.3708 0.8877 0.3708  6 Be 2.23-2.39
Ca 0.7500 0.7500 0.7500  12 Be 2.72, 4 Fe 2.83
Fe 0.0000 0.0000 0.0000  12 Be 2.70, 4 Ca 2.83
Be 0.3708 0.3708 0.8877  6 Be 2.23-2.39
Be 0.8877 0.3708 0.3708  6 Be 2.23-2.39